Ba2LiAgF | PBE-GGA | optimized geometry

```
data_Ba2LiAgF
_cell_length_a 5.838
_cell_length_b 5.838
_cell_length_c 4.215
_cell_angle_alpha 90.00
_cell_angle_beta 90.00
_cell_angle_gamma 90.00
_space_group_name_H-M_alt 'P 4/m m m'
_space_group_IT_number 123
_space_group_name_Hall '-P 4 2'
loop_
_atom_site_label
_atom_site_type_symbol
_atom_site_fract_x
_atom_site_fract_y
_atom_site_fract_z
Ba1 Ba 0.000 0.500 0.000
Li1 Li 0.000 0.000 0.500
Ag1 Ag 0.500 0.500 0.500
F1 F 0.000 0.000 0.000
```

BaMgAgF7 | PBE-GGA | optimized geometry

```
data_BaMgAgF7
_cell_length_a 5.749
_cell_length_b 10.185
_cell_length_c 9.913
_cell_angle_alpha 90.00
_cell_angle_beta 93.09
_cell_angle_gamma 90.00
_space_group_name_H-M_alt 'P 1 21/c 1'
_space_group_IT_number 14
loop_
_space_group_symop_operation_xyz
'x,y,z'
'-x,-y,-z'
'-x,y+1/2,-z+1/2'
'x,-y+1/2,z+1/2'
loop_
_atom_site_label
_atom_site_type_symbol
_atom_site_fract_x
_atom_site_fract_y
_atom_site_fract_z
Ba1 Ba 0.229 0.176 0.003
Mg1 Mg 0.191 0.607 0.808
Ag1 Ag 0.306 0.610 0.184
F1 F 0.014 0.721 0.248
F2 F 0.101 0.537 0.631
F3 F 0.124 0.062 0.623
F4 F 0.240 0.698 0.990
F5 F 0.364 0.050 0.378
F6 F 0.399 0.541 0.377
F7 F 0.475 0.711 0.748
```

BaMgAg2F8 | PBE-GGA | optimized geometry

```
data_BaMgAg2F8
_cell_length_a 5.5034
_cell_length_b 5.5034
_cell_length_c 6.9398
_cell_angle_alpha 90.00
_cell_angle_beta 90.00
_cell_angle_gamma 120.00
_space_group_name_H-M_alt 'P -3'
_space_group_IT_number 147
loop_
_space_group_symop_operation_xyz
'x,y,z'
'-x,-y,-z'
'-y,x-y,z'
'y,-x+y,-z'
'-x+y,-x,z'
'x-y,x,-z'
loop_
_atom_site_label
_atom_site_type_symbol
_atom_site_fract_x
_atom_site_fract_y
_atom_site_fract_z
Ba1 Ba 0.0000 0.0000 0.0000
Mg1 Mg 0.0000 0.0000 0.5000
Ag1 Ag 0.3333 0.6667 0.6267
F1 F 0.0747 0.7538 0.3339
F2 F 0.3333 0.6667 0.9246
```

Ba2MgAgF6 | PBE-GGA | optimized geometry

```
data_Ba2MgAgF6
_cell_length_a 5.810
_cell_length_b 8.474
_cell_length_c 7.973
_cell_angle_alpha 90.00
_cell_angle_beta 90.00
_cell_angle_gamma 90.00
_space_group_name_H-M_alt 'P m m n'
_space_group_IT_number 59
loop_
_space_group_symop_operation_xyz
'x,y,z'
'-x,-y,-z'
'-x+1/2,-y+1/2,z'
'x+1/2,y+1/2,-z'
'x+1/2,-y,-z'
'-x+1/2,y,z'
'-x,y+1/2,-z'
'x,-y+1/2,z'
loop_
_atom_site_label
_atom_site_type_symbol
_atom_site_fract_x
_atom_site_fract_y
_atom_site_fract_z
Ba1 Ba 0.250 0.015 0.172
Mg1 Mg 0.250 0.750 0.816
Ag1 Ag 0.250 0.250 0.614
F1 F 0.017 0.750 0.007
F2 F 0.018 0.250 0.331
F3 F 0.250 0.516 0.840
```

Formation energy from raw total energies in eV/atom, matching the order above: -1.13, -2.62, -2.27, -3.01
E in eV/atom, matching the order above: -3.225, -4.564, -4.285, -4.958